# 1
A plane-wave DFT calculation with PBE with a Hubbard U was carried out for FeBrO after structural relaxation.

Results
Its total energy is -5.141 eV/atom. The calculated density comes out at 4.12 g cm⁻³. The space-group type is No. 59.

Lattice parameters (Å, degrees): 3.421 3.915 9.134 90.00 90.00 90.00
Fractional coordinates of all 6 atoms:
Fe: 0.250 0.250 0.095
Fe: 0.750 0.750 0.905
Br: 0.250 0.750 0.697
Br: 0.750 0.250 0.303
O: 0.250 0.750 0.039
O: 0.750 0.250 0.961

***

# 2
A plane-wave DFT calculation with PBE with a Hubbard U was carried out for FeBrO3 after structural relaxation.

Results
The density of states at the Fermi level comes out at 0.435 states/eV per atom. Its total energy is -4.070 eV/atom. The calculated density comes out at 5.90 g cm⁻³. The space-group type is No. 221.

Lattice parameters (Å, degrees): 3.725 3.725 3.725 90.00 90.00 90.00
Fractional coordinates of all 5 atoms:
Fe: 0.000 0.000 0.000
Br: 0.500 0.500 0.500
O: 0.000 0.000 0.500
O: 0.000 0.500 0.000
O: 0.500 0.000 0.000

***

# 3
A plane-wave DFT calculation with PBE with a Hubbard U was carried out for FeBrO after structural relaxation.

Results
Its total energy is -5.017 eV/atom. The calculated density comes out at 3.59 g cm⁻³. The space-group type is No. 14.

Lattice parameters (Å, degrees): 7.744 5.532 7.157 90.00 113.76 90.00
Fractional coordinates of all 12 atoms:
Fe: 0.002 0.236 0.404
Fe: 0.002 0.264 0.904
Fe: 0.998 0.736 0.096
Fe: 0.998 0.764 0.596
Br: 0.286 0.508 0.629
Br: 0.286 0.992 0.129
Br: 0.714 0.008 0.871
Br: 0.714 0.492 0.371
O: 0.008 0.101 0.664
O: 0.008 0.399 0.164
O: 0.992 0.601 0.836
O: 0.992 0.899 0.336

***

# 4
A plane-wave DFT calculation with PBE with a Hubbard U was carried out for Rb2FeBr6O after structural relaxation.

Results
The density of states at the Fermi level comes out at 0.237 states/eV per atom. Its total energy is -2.710 eV/atom. The calculated density comes out at 4.05 g cm⁻³. The space-group type is No. 139.

Lattice parameters (Å, degrees): 7.793 7.793 7.793 126.44 126.44 79.16
Fractional coordinates of all 10 atoms:
Rb: 0.250 0.750 0.500
Rb: 0.750 0.250 0.500
Fe: 0.000 0.000 0.000
Br: 0.204 0.204 0.000
Br: 0.267 0.267 0.535
Br: 0.267 0.733 0.000
Br: 0.733 0.267 0.000
Br: 0.733 0.733 0.465
Br: 0.796 0.796 0.000
O: 0.500 0.500 0.000

***

# 5
A plane-wave DFT calculation with PBE with a Hubbard U was carried out for RbFeBr2O after structural relaxation.

Results
Its total energy is -4.066 eV/atom. The calculated density comes out at 4.34 g cm⁻³. The space-group type is No. 123.

Lattice parameters (Å, degrees): 5.686 5.686 3.750 90.00 90.00 90.00
Fractional coordinates of all 5 atoms:
Rb: 0.000 0.000 0.000
Fe: 0.500 0.500 0.500
Br: 0.000 0.500 0.500
Br: 0.500 0.000 0.500
O: 0.500 0.500 0.000

***

# 6
A plane-wave DFT calculation with PBE with a Hubbard U was carried out for FeRh2BrO after structural relaxation.

Results
The density of states at the Fermi level comes out at 0.975 states/eV per atom. Its total energy is -4.272 eV/atom. The calculated density comes out at 6.91 g cm⁻³. The space-group type is No. 123.

Lattice parameters (Å, degrees): 4.628 4.628 4.014 90.00 90.00 90.00
Fractional coordinates of all 5 atoms:
Fe: 0.000 0.000 0.000
Rh: 0.000 0.500 0.500
Rh: 0.500 0.000 0.500
Br: 0.500 0.500 0.500
O: 0.500 0.500 0.000

***

# 7
A plane-wave DFT calculation with PBE with a Hubbard U was carried out for Fe3Sb2Br4O4 after structural relaxation.

Results
The density of states at the Fermi level comes out at 0.000 states/eV per atom. Its total energy is -5.122 eV/atom. The calculated density comes out at 4.18 g cm⁻³. The space-group type is No. 4.

Lattice parameters (Å, degrees): 6.469 14.878 7.220 90.00 114.68 90.00
Fractional coordinates of all 26 atoms:
Fe: 0.012 0.000 0.493
Fe: 0.250 0.756 0.500
Fe: 0.487 0.512 0.506
Fe: 0.513 0.012 0.494
Fe: 0.750 0.256 0.500
Fe: 0.988 0.500 0.507
Sb: 0.168 0.198 0.289
Sb: 0.333 0.314 0.711
Sb: 0.667 0.814 0.289
Sb: 0.832 0.698 0.711
Br: 0.062 0.873 0.185
Br: 0.119 0.597 0.257
Br: 0.380 0.915 0.743
Br: 0.437 0.639 0.815
Br: 0.563 0.139 0.185
Br: 0.620 0.415 0.257
Br: 0.881 0.097 0.743
Br: 0.938 0.373 0.815
O: 0.052 0.255 0.491
O: 0.222 0.080 0.428
O: 0.278 0.432 0.572
O: 0.448 0.256 0.509
O: 0.552 0.756 0.491
O: 0.722 0.932 0.428
O: 0.778 0.580 0.572
O: 0.948 0.755 0.509

***

# 8
A plane-wave DFT calculation with PBE with a Hubbard U was carried out for FeSeBr2O after structural relaxation.

Results
The density of states at the Fermi level comes out at 1.563 states/eV per atom. Its total energy is -2.738 eV/atom. The calculated density comes out at 3.91 g cm⁻³. The value obtained for the excess energy over the best structure of this formula in the dataset is 28.57 kJ per mole of atoms. The space-group type is No. 123.

Lattice parameters (Å, degrees): 5.051 5.051 5.169 90.00 90.00 90.00
Fractional coordinates of all 5 atoms:
Fe: 0.000 0.000 0.000
Se: 0.000 0.000 0.500
Br: 0.000 0.500 0.000
Br: 0.500 0.000 0.000
O: 0.500 0.500 0.500

***

# 9
A plane-wave DFT calculation with PBE with a Hubbard U was carried out for FeSeBr2O after structural relaxation.

Results
The density of states at the Fermi level comes out at 0.434 states/eV per atom. Its total energy is -3.034 eV/atom. The calculated density comes out at 4.05 g cm⁻³. The value obtained for the excess energy over the best structure of this formula in the dataset is 0.00 kJ per mole of atoms. The space-group type is No. 123.

Lattice parameters (Å, degrees): 5.916 5.916 3.635 90.00 90.00 90.00
Fractional coordinates of all 5 atoms:
Fe: 0.000 0.000 0.000
Se: 0.500 0.500 0.000
Br: 0.000 0.500 0.500
Br: 0.500 0.000 0.500
O: 0.500 0.500 0.500

***

# 10
A plane-wave DFT calculation with PBE with a Hubbard U was carried out for Sr3Fe2Br2O5 after structural relaxation.

Results
Its total energy is -5.831 eV/atom. The calculated density comes out at 4.71 g cm⁻³. The space-group type is No. 139.

Lattice parameters (Å, degrees): 13.774 13.774 13.774 163.27 163.27 23.75
Fractional coordinates of all 12 atoms:
Sr: 0.000 0.000 0.000
Sr: 0.140 0.140 0.000
Sr: 0.860 0.860 0.000
Fe: 0.429 0.429 0.000
Fe: 0.571 0.571 0.000
Br: 0.308 0.308 0.000
Br: 0.692 0.692 0.000
O: 0.081 0.581 0.500
O: 0.419 0.919 0.500
O: 0.500 0.500 0.000
O: 0.581 0.081 0.500
O: 0.919 0.419 0.500

***

# 11
A plane-wave DFT calculation with PBE with a Hubbard U was carried out for FeTe2BrO5 after structural relaxation.

Results
The density of states at the Fermi level comes out at 0.000 states/eV per atom. Its total energy is -5.330 eV/atom. The calculated density comes out at 4.95 g cm⁻³. The space-group type is No. 14.

Lattice parameters (Å, degrees): 13.626 6.707 14.549 90.00 108.01 90.00
Fractional coordinates of all 72 atoms:
Fe: 0.062 0.206 0.144
Fe: 0.062 0.294 0.644
Fe: 0.116 0.000 0.479
Fe: 0.116 0.500 0.979
Fe: 0.884 0.000 0.521
Fe: 0.884 0.500 0.021
Fe: 0.938 0.706 0.356
Fe: 0.938 0.794 0.856
Te: 0.111 0.688 0.214
Te: 0.111 0.812 0.714
Te: 0.196 0.518 0.521
Te: 0.196 0.982 0.021
Te: 0.277 0.211 0.361
Te: 0.277 0.289 0.861
Te: 0.364 0.030 0.637
Te: 0.364 0.470 0.137
Te: 0.636 0.530 0.863
Te: 0.636 0.970 0.363
Te: 0.723 0.711 0.139
Te: 0.723 0.789 0.639
Te: 0.804 0.018 0.979
Te: 0.804 0.482 0.479
Te: 0.889 0.188 0.286
Te: 0.889 0.312 0.786
Br: 0.387 0.642 0.779
Br: 0.387 0.858 0.279
Br: 0.436 0.724 0.042
Br: 0.436 0.776 0.542
Br: 0.564 0.224 0.458
Br: 0.564 0.276 0.958
Br: 0.613 0.142 0.721
Br: 0.613 0.358 0.221
O: 0.009 0.240 0.252
O: 0.009 0.260 0.752
O: 0.038 0.512 0.102
O: 0.038 0.988 0.602
O: 0.088 0.702 0.450
O: 0.088 0.798 0.950
O: 0.100 0.577 0.637
O: 0.100 0.923 0.137
O: 0.112 0.213 0.021
O: 0.112 0.287 0.521
O: 0.184 0.018 0.381
O: 0.184 0.482 0.881
O: 0.207 0.228 0.728
O: 0.207 0.272 0.228
O: 0.209 0.048 0.893
O: 0.209 0.452 0.393
O: 0.230 0.592 0.092
O: 0.230 0.908 0.592
O: 0.335 0.235 0.545
O: 0.335 0.265 0.045
O: 0.665 0.735 0.955
O: 0.665 0.765 0.455
O: 0.770 0.092 0.408
O: 0.770 0.408 0.908
O: 0.791 0.548 0.607
O: 0.791 0.952 0.107
O: 0.793 0.728 0.772
O: 0.793 0.772 0.272
O: 0.816 0.518 0.119
O: 0.816 0.982 0.619
O: 0.888 0.713 0.479
O: 0.888 0.787 0.979
O: 0.900 0.077 0.863
O: 0.900 0.423 0.363
O: 0.912 0.202 0.050
O: 0.912 0.298 0.550
O: 0.962 0.012 0.398
O: 0.962 0.488 0.898
O: 0.991 0.740 0.248
O: 0.991 0.760 0.748

***

# 12
A plane-wave DFT calculation with PBE with a Hubbard U was carried out for ZnFe2BrO after structural relaxation.

Results
The density of states at the Fermi level comes out at 0.246 states/eV per atom. Its total energy is -2.579 eV/atom. The calculated density comes out at 3.98 g cm⁻³. The space-group type is No. 123.

Lattice parameters (Å, degrees): 4.737 4.737 5.074 90.00 90.00 90.00
Fractional coordinates of all 5 atoms:
Zn: 0.000 0.000 0.000
Fe: 0.000 0.500 0.500
Fe: 0.500 0.000 0.500
Br: 0.000 0.000 0.500
O: 0.500 0.500 0.000

***

# 13
A plane-wave DFT calculation with PBE with a Hubbard U was carried out for Zr2FeBrO after structural relaxation.

Results
The density of states at the Fermi level comes out at 0.820 states/eV per atom. Its total energy is -5.162 eV/atom. The calculated density comes out at 5.19 g cm⁻³. The space-group type is No. 123.

Lattice parameters (Å, degrees): 5.116 5.116 4.085 90.00 90.00 90.00
Fractional coordinates of all 5 atoms:
Zr: 0.000 0.500 0.000
Zr: 0.500 0.000 0.000
Fe: 0.000 0.000 0.500
Br: 0.500 0.500 0.000
O: 0.500 0.500 0.500